# NbCrI3

NbCrI3 at its PBEsol-relaxed geometry (meta-GGA SCAN, Alexandria via LeMat-Bulk).

a = 5.5189 Å, b = 5.5189 Å, c = 5.5189 Å
α = 90.00°, β = 90.00°, γ = 90.00°
Closest atoms and distances in Å follow each position.
Space group Pm-3m (No. 221)
Inequivalent atoms, fractional coordinates:
Nb  0.0000  0.0000  0.0000 (multiplicity 1)  6 I 2.76
Cr  0.5000  0.5000  0.5000 (multiplicity 1)  12 I 3.90
I  0.0000  0.0000  0.5000 (multiplicity 3)  2 Nb 2.76

Summary:
DOS(E_F) (states/eV/cell): 3.96
VASP energy (Ry/atom): -2.356
ΔE_f (raw) (eV/atom): 0.29